Entry from the Alexandria database: a relaxed structure of LiDyPuTl (PBE-GGA).

Structure (extended XYZ):
```
4
Lattice="5.3133 0.0000 0.0000 2.6566 4.6014 0.0000 2.6566 1.5338 4.3383" Properties=species:S:1:pos:R:3 pbc="T T T"
Pu 7.9699 4.6014 3.2537
Tl 5.3133 3.0676 2.1691
Dy 2.6566 1.5338 1.0846
Li 0.0000 0.0000 0.0000
```

Output
DOS(E_F)	2.35	states/eV per atom
symmetry	F-43m
ΔE_f	39	meV/atom
calculated volume	26.516	Å³ per atom
theoretical density	9.67	g cm⁻³

Entry from the Alexandria database: a relaxed structure of LiDyPuZn (PBE-GGA).

Structure (extended XYZ):
```
4
Lattice="-1.2547 2.2605 4.3893 -4.9009 0.5090 1.2930 -1.9244 -2.7579 3.8263" Properties=species:S:1:pos:R:3 pbc="T T T"
Pu -2.0200 0.0029 2.3771
Zn 0.0000 0.0000 0.0000
Li -4.0400 0.0058 4.7543
Dy -6.0600 0.0087 7.1314
```

Output
DOS(E_F)	2.14	states/eV per atom
symmetry	F-43m
ΔE_f	69	meV/atom
calculated volume	23.368	Å³ per atom
theoretical density	8.51	g cm⁻³

Entry from the Alexandria database: a relaxed structure of RbLiDy2S4 (PBE-GGA).

Structure (extended XYZ):
```
16
Lattice="-0.9676 -3.8653 -0.7338 3.3305 2.3932 -5.8125 12.2934 -4.0947 5.3582" Properties=species:S:1:pos:R:3 pbc="T T T"
S 6.1467 -2.0473 2.6791
S 3.0548 -2.8810 -0.0373
S 6.3361 -1.3784 -1.0938
S 8.3203 -4.1883 -0.0944
S 11.6016 -2.6857 -1.1509
S 0.0000 0.0000 0.0000
S 11.8875 -5.3764 1.4604
S 2.7689 -0.1903 -2.6486
Rb 9.8240 -2.9733 2.7077
Rb 4.8324 -2.5934 -3.8959
Dy 5.6809 -3.6080 0.3293
Dy 1.0257 -2.0575 -1.6997
Dy 13.6307 -3.5093 0.5115
Dy 8.9755 -1.9587 -1.5175
Li 4.0458 -0.8663 -0.7714
Li 10.6106 -4.7004 -0.4168
```

Output
DOS(E_F)	0.00	states/eV per atom
symmetry	Cmcm
formation energy without anion corrections	-1.85	eV per atom
calculated volume	24.212	Å³ per atom
theoretical density	4.68	g cm⁻³

Entry from the Alexandria database: a relaxed structure of RbLiDy2Se4 (PBE-GGA).

Structure (extended XYZ):
```
16
Lattice="4.2141 0.0000 0.0000 -2.1071 7.0950 0.0000 0.0000 0.0000 14.6575" Properties=species:S:1:pos:R:3 pbc="T T T"
Rb 0.0000 1.5325 10.9931
Rb 2.1071 5.5625 3.6644
Se 2.1071 1.0931 3.6644
Se 0.0000 3.7193 5.7761
Se 0.0000 6.0019 10.9931
Se 2.1071 3.3757 8.8813
Se 0.0000 3.7193 1.5526
Se 2.1071 3.3757 13.1049
Se 0.0000 0.0000 0.0000
Se 0.0000 0.0000 7.3287
Dy 0.0000 5.1940 13.7547
Dy 2.1071 1.9010 0.9028
Dy 2.1071 1.9010 6.4260
Dy 0.0000 5.1940 8.2315
Li 0.0000 2.3967 3.6644
Li 2.1071 4.6983 10.9931
```

Output
DOS(E_F)	0.00	states/eV per atom
symmetry	Cmcm
formation energy without anion corrections	-1.70	eV per atom
calculated volume	27.390	Å³ per atom
theoretical density	5.56	g cm⁻³

Entry from the Alexandria database: a relaxed structure of RbLiDySe2 (PBE-GGA).

Structure (extended XYZ):
```
10
Lattice="-4.0847 -2.8883 -1.3683 4.2469 -3.0371 -6.2671 0.5787 -4.5674 7.9140" Properties=species:S:1:pos:R:3 pbc="T T T"
Rb 2.8093 -5.0319 -0.9661
Rb -2.0684 -5.4609 1.2448
Dy 1.1428 -3.7220 -5.3844
Dy -0.9806 -2.2034 -2.2509
Se -0.8528 -2.3355 0.5539
Se 0.6785 -5.7845 3.2630
Se 0.0624 -4.7084 -2.9844
Se 1.5937 -8.1574 -0.2752
Li 0.0000 0.0000 0.0000
Li 2.1234 -1.5186 -3.1335
```

Output
DOS(E_F)	0.26	states/eV per atom
symmetry	Cmme
formation energy without anion corrections	-1.17	eV per atom
calculated volume	34.679	Å³ per atom
theoretical density	3.95	g cm⁻³

Entry from the Alexandria database: a relaxed structure of RbLiDyTe2 (PBE-GGA).

Structure (extended XYZ):
```
10
Lattice="-1.8170 -6.2458 -2.4495 3.9336 0.9279 -5.2838 4.1979 -3.8256 6.6409" Properties=species:S:1:pos:R:3 pbc="T T T"
Dy 2.0417 -2.4270 -5.1876
Dy 0.0749 -2.8909 -2.5457
Li 1.9668 0.4639 -2.6419
Li 0.0000 0.0000 0.0000
Rb 4.6097 -2.7274 -1.2348
Rb 1.7048 -6.4161 0.1424
Te 4.2310 -4.1856 2.4148
Te 5.3240 -6.7251 -1.4050
Te 2.0836 -4.9580 -3.5071
Te 0.9905 -2.4185 0.3127
```

Output
DOS(E_F)	0.43	states/eV per atom
symmetry	Cmme
formation energy without anion corrections	-0.93	eV per atom
calculated volume	37.363	Å³ per atom
theoretical density	4.53	g cm⁻³

Entry from the Alexandria database: a relaxed structure of LiDy2Re (PBE-GGA).

Structure (extended XYZ):
```
4
Lattice="-3.2421 -1.1143 -0.4690 0.7406 -0.7695 -3.2912 2.2013 -7.3348 2.2103" Properties=species:S:1:pos:R:3 pbc="T T T"
Li -0.1501 -4.6093 -0.7750
Dy 0.4517 -1.5049 0.4535
Dy 1.7496 -5.8299 1.7568
Re -1.2508 -0.9419 -1.8801
```

Output
DOS(E_F)	0.80	states/eV per atom
symmetry	P4/mmm
ΔE_f	76	meV/atom
calculated volume	23.858	Å³ per atom
theoretical density	9.02	g cm⁻³

Entry from the Alexandria database: a relaxed structure of LiTbDyRe (PBE-GGA).

Structure (extended XYZ):
```
4
Lattice="-3.0869 3.4702 1.6472 -1.9403 -0.3700 4.5148 1.4383 3.0883 3.5607" Properties=species:S:1:pos:R:3 pbc="T T T"
Li -1.7944 3.0943 4.8613
Tb -2.6917 4.6414 7.2920
Re 0.0000 0.0000 0.0000
Dy -0.8972 1.5471 2.4307
```

Output
DOS(E_F)	0.82	states/eV per atom
symmetry	F-43m
ΔE_f	71	meV/atom
calculated volume	21.156	Å³ per atom
theoretical density	10.10	g cm⁻³

What is the formula in the seventh record? LiDy2Re